A relaxed PrTmGaCu crystal. Source: the Alexandria database, functional GGA-PBE.

Total energy   -71.3 eV/cell
ΔH_f (0 K)   -0.3620 eV per atom
Magnetization   0.000 μB per formula unit
Volume   23.16 A^3/atom

Cell lengths 7.1826, 7.1826, 7.1826 Å; angles 90.00, 90.00, 90.00 degrees
Closest atoms and distances in Å follow each position.
Space group F-43m (No. 216)
Asymmetric unit:
Pr: 0.0000 0.0000 0.0000 (multiplicity 4)  4 Ga 3.11, 4 Cu 3.11
Tm: 0.0000 0.0000 0.5000 (multiplicity 4)  4 Cu 3.11, 4 Ga 3.11
Ga: 0.2500 0.2500 0.2500 (multiplicity 4)  4 Pr 3.11, 4 Tm 3.11
Cu: 0.2500 0.2500 0.7500 (multiplicity 4)  4 Pr 3.11, 4 Tm 3.11

***

A relaxed Nd2H22C10N6O21 crystal. Source: the Alexandria database, functional GGA-PBE.

Total energy   -1586.1 eV/cell
Magnetization   0.000 μB per formula unit
Volume   10.22 A^3/atom

Cell lengths 14.1590, 11.6417, 15.8423 Å; angles 90.00, 107.28, 90.00 degrees
Closest atoms and distances in Å follow each position.
Space group C2/c (No. 15)
Asymmetric unit:
Nd: 0.1759 0.1504 0.1603 (multiplicity 8)  9 O 2.48-2.62
H: 0.0033 0.4135 0.3919 (multiplicity 8)  1 N 1.02
H: 0.0038 0.3100 0.5226 (multiplicity 8)  1 N 1.02
H: 0.0239 0.1107 0.6632 (multiplicity 8)  1 O 0.99
H: 0.0414 0.2165 0.8287 (multiplicity 8)  1 O 0.99
H: 0.0552 0.3898 0.7465 (multiplicity 8)  1 O 0.99
H: 0.0810 0.0330 0.4991 (multiplicity 8)  1 O 0.98
H: 0.0895 0.0855 0.9525 (multiplicity 8)  1 O 1.02
H: 0.1033 0.4914 0.9035 (multiplicity 8)  1 N 1.02
H: 0.1148 0.2924 0.6070 (multiplicity 8)  1 N 1.02
H: 0.2391 0.1117 0.4006 (multiplicity 8)  1 N 1.02
H: 0.2450 0.0291 0.4926 (multiplicity 8)  1 N 1.02
C: 0.0387 0.1415 0.2974 (multiplicity 8)  2 O 1.26-1.27
C: 0.1233 0.3939 0.5039 (multiplicity 8)  3 N 1.34
C: 0.1852 0.4253 0.2355 (multiplicity 8)  2 O 1.26-1.27
C: 0.2024 0.2875 0.9846 (multiplicity 8)  2 O 1.27
C: 0.2103 0.1253 0.7225 (multiplicity 8)  2 O 1.27
N: 0.0737 0.4390 0.4256 (multiplicity 8)  2 H 1.02
N: 0.0790 0.3191 0.5443 (multiplicity 8)  2 H 1.02
N: 0.2180 0.4230 0.5412 (multiplicity 8)  2 H 1.02
O: 0.0000 0.3402 0.7500 (multiplicity 4)  2 H 0.99
O: 0.0047 0.1398 0.3627 (multiplicity 8)  1 C 1.26
O: 0.0451 0.1393 0.8554 (multiplicity 8)  2 H 0.99
O: 0.1138 0.0416 0.0104 (multiplicity 8)  2 H 0.98-1.02
O: 0.1205 0.3577 0.1893 (multiplicity 8)  1 C 1.26
O: 0.1290 0.1425 0.3001 (multiplicity 8)  1 C 1.27
O: 0.1425 0.2812 0.0300 (multiplicity 8)  1 C 1.27
O: 0.1441 0.0569 0.6784 (multiplicity 8)  1 C 1.27
O: 0.1742 0.4695 0.7523 (multiplicity 8)  1 C 1.27
O: 0.1923 0.3492 0.9167 (multiplicity 8)  1 C 1.27
O: 0.1975 0.2313 0.7332 (multiplicity 8)  1 C 1.27